Computed, not measured: a relaxed structure of PaFeCuO6 at the PBE with a Hubbard U level of DFT.

Cell lengths 4.8989, 4.8989, 9.2353 Å; angles 90.00, 90.00, 90.00 degrees
Space group P4_2nm (No. 102)
Asymmetric unit:
Pa: 0.0000 0.0000 0.0000
Fe: 0.0000 0.0000 0.6642
Cu: 0.0000 0.0000 0.3338
O: 0.1751 0.1751 0.4949
O: 0.1885 0.1885 0.8180
O: 0.1928 0.1928 0.1784

Results
- energy (eV per atom) = -7.208